Record 1
This record from Alexandria describes an optimized crystal structure of BAsOsBr2. The functional is GGA-PBE.

POSCAR file:
```
BAsOsBr2
1.0
-1.4226 -0.6885 4.1343
0.2373 -4.3722 -0.6464
4.1657 0.0138 1.4357
As B Os Br
1 1 1 2
Direct
0.0000 0.0000 0.5000
0.0000 0.0000 0.0000
0.5000 0.5000 0.5000
0.0000 0.5000 0.0000
0.5000 0.0000 0.0000
```

## Properties
Its uncorrected formation energy is 1635 meV per atom. As for the crystal system: tetragonal. As for the space-group type: No. 123. The calculation puts the relative energy among the computed polymorphs at 247.4 meV/atom.

***

Record 2
This record from Alexandria describes an optimized crystal structure of BAsPBr2. The functional is GGA-PBE.

POSCAR file:
```
BAsPBr2
1.0
5.1178 0.0000 0.0000
0.0000 5.1178 0.0000
0.0000 0.0000 4.8546
P As B Br
1 1 1 2
Direct
0.0000 0.0000 0.0000
0.0000 0.0000 0.5000
0.5000 0.5000 0.5000
0.0000 0.5000 0.0000
0.5000 0.0000 0.0000
```

## Properties
Its uncorrected formation energy is 1266 meV per atom. As for the crystal system: tetragonal. As for the space-group type: No. 123. The calculation puts the relative energy among the computed polymorphs at 222.4 meV/atom.

***

Record 3
This record from Alexandria describes an optimized crystal structure of BAs2PBr. The functional is GGA-PBE.

POSCAR file:
```
BAs2PBr
1.0
4.7459 0.0000 0.0000
0.0000 4.7459 0.0000
0.0000 0.0000 5.2436
P As B Br
1 2 1 1
Direct
0.0000 0.0000 0.0000
0.0000 0.5000 0.0000
0.5000 0.0000 0.0000
0.5000 0.5000 0.5000
0.0000 0.0000 0.5000
```

## Properties
Its uncorrected formation energy is 1465 meV per atom. As for the crystal system: tetragonal. As for the space-group type: No. 123. The calculation puts the relative energy among the computed polymorphs at 426.5 meV/atom.

***

Record 4
This record from Alexandria describes an optimized crystal structure of BAs2PBr. The functional is GGA-PBE.

POSCAR file:
```
BAs2PBr
1.0
-2.4362 -2.9809 2.3917
2.7075 0.6556 3.5750
-2.5887 3.2155 1.3709
P As B Br
1 2 1 1
Direct
0.5000 0.5000 0.5000
0.0000 0.5000 0.0000
0.5000 0.0000 0.0000
0.0000 0.0000 0.0000
0.0000 0.0000 0.5000
```

## Properties
Its uncorrected formation energy is 1039 meV per atom. As for the crystal system: tetragonal. As for the space-group type: No. 123. The calculation puts the relative energy among the computed polymorphs at 0.0 meV/atom.

***

Record 5
This record from Alexandria describes an optimized crystal structure of BAsPBr2. The functional is GGA-PBE.

POSCAR file:
```
BAsPBr2
1.0
4.4636 0.0000 0.0000
0.0000 4.4636 0.0000
0.0000 0.0000 4.8361
P As B Br
1 1 1 2
Direct
0.5000 0.5000 0.5000
0.0000 0.0000 0.5000
0.0000 0.0000 0.0000
0.0000 0.5000 0.0000
0.5000 0.0000 0.0000
```

## Properties
Its uncorrected formation energy is 1043 meV per atom. As for the crystal system: tetragonal. As for the space-group type: No. 123. The calculation puts the relative energy among the computed polymorphs at 0.0 meV/atom.

***

Record 6
This record from Alexandria describes an optimized crystal structure of BAsPb2Br. The functional is GGA-PBE.

POSCAR file:
```
BAsPb2Br
1.0
5.8276 0.0000 0.0000
0.0000 5.6222 0.0000
0.0000 0.0000 5.8276
Pb As B Br
2 1 1 1
Direct
0.0000 0.0000 0.5000
0.5000 0.0000 0.0000
0.0000 0.5000 0.0000
0.5000 0.5000 0.5000
0.0000 0.0000 0.0000
```

## Properties
Its uncorrected formation energy is 1562 meV per atom. As for the crystal system: tetragonal. As for the space-group type: No. 123.

***

What did the first record say?
This record from Alexandria describes an optimized crystal structure of BAsOsBr2. The functional is GGA-PBE.

POSCAR file:
```
BAsOsBr2
1.0
-1.4226 -0.6885 4.1343
0.2373 -4.3722 -0.6464
4.1657 0.0138 1.4357
As B Os Br
1 1 1 2
Direct
0.0000 0.0000 0.5000
0.0000 0.0000 0.0000
0.5000 0.5000 0.5000
0.0000 0.5000 0.0000
0.5000 0.0000 0.0000
```

## Properties
Its uncorrected formation energy is 1635 meV per atom. As for the crystal system: tetragonal. As for the space-group type: No. 123. The calculation puts the relative energy among the computed polymorphs at 247.4 meV/atom.